# InPt2Cl, optimized geometry, DFT PBE
data_InPt2Cl
_cell_length_a 4.3493
_cell_length_b 4.0705
_cell_length_c 4.0705
_cell_angle_alpha 90.00
_cell_angle_beta 90.00
_cell_angle_gamma 90.00
_symmetry_space_group_name_H-M 'P 1'
_symmetry_Int_Tables_number 1
loop_
_symmetry_equiv_pos_as_xyz
'x,y,z'
loop_
_atom_site_label
_atom_site_fract_x
_atom_site_fract_y
_atom_site_fract_z
Pt1 0.0000 0.0000 0.0000
Pt2 0.0000 0.5000 0.5000
Cl1 0.5000 0.5000 0.0000
In1 0.5000 0.0000 0.5000
# - size of the total moment (μB per cell) = 0.00
# - energy relative to the lowest polymorph listed for this composition (meV/atom) = 306.7
# - density of states at the Fermi level (states/eV/f.u.) = 1.8
# - SG = No. 123
# - formation energy (no corrections) (meV per atom) = 202
# - density (g/cm³) = 12.45